DFT (PBE-GGA) results for crystalline TiAlO2 at its relaxed geometry.

```
TiAlO2
1.0
-4.323 0.917 -1.462
-1.400 -4.169 1.524
-3.807 0.112 3.917
O Al Ti
4 2 2
direct
0.875 0.814 0.750
0.564 0.125 0.250
0.375 0.436 0.750
0.186 0.625 0.250
0.500 0.500 0.000
0.250 0.750 0.500
0.000 0.000 0.000
0.750 0.250 0.500
```

The calculation puts the magnetization at 1.00 μB/f.u. The calculation puts the raw formation energy at -7.94 eV/f.u.